(1)
Below is a relaxed structure of Ac4SnGeTe2, with properties calculated at the PBE level.

Space group   No. 10
DFT total energy   -5.0827 eV/atom
Formation energy from raw total energies   -1166 meV per atom
ρ   7.38 Mg/m³
D(E_F)   0.24 states/eV per atom
Size of the total moment   0.00 μB/cell

Cell: 4.737 8.240 8.276 Å, 109.25 90.00 90.00°
Element x y z (fractional)
Ac 0.500 0.235 0.227
Te 0.000 0.500 0.500
Ac 0.000 0.752 0.233
Ge 0.000 0.000 0.000
Ac 0.000 0.248 0.767
Sn 0.500 0.500 0.000
Ac 0.500 0.765 0.773
Te 0.500 0.000 0.500

***

(2)
Below is a relaxed structure of AcYSnGe, with properties calculated at the PBE level.

Space group   No. 216
DFT total energy   -5.3059 eV/atom
Energy relative to the elements   -0.51 eV/atom
ρ   7.28 Mg/m³
D(E_F)   1.30 states/eV per atom
Size of the total moment   0.00 μB/cell

Cell: 5.468 5.468 5.468 Å, 60.00 60.00 60.00°
Element x y z (fractional)
Ac 0.500 0.500 0.500
Ge 0.250 0.250 0.250
Y 0.000 0.000 0.000
Sn 0.750 0.750 0.750

***

(3)
Below is a relaxed structure of Ac2ZnSnGe, with properties calculated at the PBE level.

Space group   No. 11
DFT total energy   -4.1787 eV/atom
Energy relative to the elements   -0.56 eV/atom
ρ   7.36 Mg/m³
D(E_F)   0.26 states/eV per atom
Size of the total moment   0.00 μB/cell

Cell: 4.603 7.587 9.511 Å, 105.11 90.00 90.00°
Element x y z (fractional)
Zn 0.250 0.517 0.726
Ge 0.250 0.841 0.833
Ge 0.750 0.159 0.167
Ac 0.250 0.248 0.963
Ac 0.750 0.752 0.037
Ac 0.750 0.801 0.596
Ac 0.250 0.199 0.404
Sn 0.250 0.687 0.309
Sn 0.750 0.313 0.691
Zn 0.750 0.483 0.274